Record 1
4
Lattice="-3.2854 2.8885 -0.7767 -1.7320 -4.0188 0.7680 -0.1352 0.5790 2.7249" Properties=species:S:1:pos:R:3 comment="Co2MoAs | Alexandria via LeMat-Bulk | GGA-PBE | relaxed" e_form_mev_per_atom=147.6 sg=Cmmm energy_ha_per_atom=-0.2674 n_ef_per_ev_cell=4.822 volume_a3_per_atom=12.99 pbc="T T T"
As -0.9336 -1.7199 1.7465
Co -2.5087 -0.5652 -0.0044
Co 0.0000 0.0000 0.0000
Mo -1.7103 1.7337 0.9741

=====

Record 2
6
Lattice="5.3414 0.0000 0.0000 2.6707 4.6258 0.0000 2.6707 1.5419 4.3612" Properties=species:S:1:pos:R:3 comment="LaScRu4 | Alexandria via LeMat-Bulk | GGA-PBE | relaxed" e_form_mev_per_atom=-166.2 sg=F-43m energy_ha_per_atom=-0.3023 n_ef_per_ev_cell=7.822 volume_a3_per_atom=17.96 pbc="T T T"
Ru 5.3414 1.5503 2.7228
Ru 6.6694 3.8506 2.7228
Ru 4.0133 3.8506 2.7228
Ru 5.3414 3.0838 0.5541
La 0.0000 0.0000 0.0000
Sc 2.6707 1.5419 1.0903

=====

Record 3
4
Lattice="-1.3813 -3.4611 2.7391 2.6970 -2.9510 -2.3687 3.5204 0.8898 2.8997" Properties=species:S:1:pos:R:3 comment="TbSc2In | Alexandria via LeMat-Bulk | GGA-PBE | relaxed" e_form_mev_per_atom=-264.7 relative_energy_mev_per_atom=0 sg=P4/mmm energy_ha_per_atom=-0.1938 n_ef_per_ev_cell=4.520 volume_a3_per_atom=24.97 pbc="T T T"
Tb 2.4180 -2.7611 1.6350
Sc 1.7602 0.4449 1.4499
Sc 1.3485 -1.4755 -1.1844
In -0.6907 -1.7305 1.3695